No. 1
Material: BaFe2Ir
Method: DFT, PBE
State: relaxed

Cell: 5.7825 5.7825 5.7825 Å, 149.93 126.62 62.49°
Fractional coordinates of all 4 atoms:
Ba  0.0000  0.0000  0.0000
Fe  0.2975  0.7975  0.5000
Fe  0.5031  0.5031  0.0000
Ir  0.7094  0.2094  0.5000

Output
- DFT formation energy (eV per formula unit) = 3.05
- crystal system = orthorhombic



No. 2
Material: VAsIN2
Method: DFT, PBE
State: relaxed

Cell: 3.8735 3.8735 5.8101 Å, 90.00 90.00 90.00°
Fractional coordinates of all 5 atoms:
V  0.0000  0.0000  0.0000
As  0.5000  0.5000  0.5000
I  0.0000  0.0000  0.5000
N  0.0000  0.5000  0.0000
N  0.5000  0.0000  0.0000

Output
- raw formation energy (meV per atom) = 847
- crystal system = tetragonal
- distance to the lowest polymorph of the same formula (meV per atom) = 0



No. 3
Material: Te8Os
Method: DFT, PBE
State: relaxed

Cell: 7.9208 7.9208 7.9208 Å, 95.83 95.83 142.81°
Fractional coordinates of all 9 atoms:
Te  0.0000  0.2568  0.2568
Te  0.0000  0.7432  0.7432
Te  0.2568  0.0000  0.2568
Te  0.3555  0.3555  0.7109
Te  0.3555  0.6445  0.0000
Te  0.6445  0.3555  0.0000
Te  0.6445  0.6445  0.2891
Te  0.7432  0.0000  0.7432
Os  0.0000  0.0000  0.0000

Output
- raw formation energy (meV per atom) = 462
- crystal system = tetragonal



No. 4
Material: Pr2Y3Pb4
Method: DFT, PBE
State: relaxed

Cell: 9.4309 9.4309 9.0700 Å, 90.00 90.00 135.11°
Fractional coordinates of all 18 atoms:
Pr  0.1112  0.8888  0.9104
Pr  0.3888  0.6112  0.4104
Pr  0.6112  0.3888  0.5896
Pr  0.8888  0.1112  0.0896
Y  0.0000  0.0000  0.5000
Y  0.0435  0.4565  0.7500
Y  0.4565  0.0435  0.2500
Y  0.5000  0.5000  0.0000
Y  0.5435  0.9565  0.7500
Y  0.9565  0.5435  0.2500
Pb  0.1863  0.8137  0.5549
Pb  0.2187  0.2813  0.7500
Pb  0.2813  0.2187  0.2500
Pb  0.3137  0.6863  0.0549
Pb  0.6863  0.3137  0.9451
Pb  0.7187  0.7813  0.7500
Pb  0.7813  0.7187  0.2500
Pb  0.8137  0.1863  0.4451

Output
- DFT formation energy (eV per formula unit) = -4.35
- crystal system = orthorhombic
- distance to the lowest polymorph of the same formula (meV per atom) = 139



No. 5
Material: Na4CaBi2
Method: DFT, PBE
State: relaxed

Cell: 6.9544 6.9544 12.2281 Å, 90.00 90.00 52.27°
Fractional coordinates of all 14 atoms:
Na  0.0096  0.4904  0.7500
Na  0.0228  0.9772  0.7889
Na  0.4772  0.5228  0.2889
Na  0.4904  0.0096  0.2500
Na  0.5096  0.9904  0.7500
Na  0.5228  0.4772  0.7111
Na  0.9772  0.0228  0.2111
Na  0.9904  0.5096  0.2500
Ca  0.0000  0.0000  0.5000
Ca  0.5000  0.5000  0.0000
Bi  0.1362  0.1362  0.0000
Bi  0.3638  0.3638  0.5000
Bi  0.6362  0.6362  0.5000
Bi  0.8638  0.8638  0.0000

Output
- DFT formation energy (eV per formula unit) = -0.97
- crystal system = orthorhombic



No. 6
Material: CrGaCuRu
Method: DFT, PBE
State: relaxed

Cell: 4.2310 4.2310 4.2310 Å, 60.00 60.00 60.00°
Fractional coordinates of all 4 atoms:
Cr  0.0000  0.0000  0.0000
Ga  0.5000  0.5000  0.5000
Cu  0.2500  0.2500  0.2500
Ru  0.7500  0.7500  0.7500

Output
- DFT formation energy (eV per formula unit) = 0.05
- crystal system = cubic



No. 7
Material: TbPr2S
Method: DFT, PBE
State: relaxed

Cell: 9.9096 9.9096 9.9096 Å, 22.50 22.50 22.50°
Fractional coordinates of all 4 atoms:
Tb  0.0000  0.0000  0.0000
Pr  0.2291  0.2291  0.2291
Pr  0.7709  0.7709  0.7709
S  0.5000  0.5000  0.5000

Output
- raw formation energy (meV per atom) = -855
- crystal system = trigonal



No. 8
Material: CsCaI3
Method: DFT, PBE
State: relaxed

Cell: 6.8287 6.8287 6.8287 Å, 90.00 90.00 90.00°
Fractional coordinates of all 5 atoms:
Cs  0.0000  0.0000  0.0000
Ca  0.5000  0.5000  0.5000
I  0.0000  0.0000  0.5000
I  0.0000  0.5000  0.0000
I  0.5000  0.0000  0.0000

Output
- raw formation energy (meV per atom) = -533
- crystal system = cubic



No. 9
Material: Sr4TaOs
Method: DFT, PBE
State: relaxed

Cell: 6.3964 6.3964 6.3964 Å, 60.00 60.00 60.00°
Fractional coordinates of all 6 atoms:
Sr  0.3756  0.3756  0.3756
Sr  0.3756  0.3756  0.8733
Sr  0.3756  0.8733  0.3756
Sr  0.8733  0.3756  0.3756
Ta  0.0000  0.0000  0.0000
Os  0.7500  0.7500  0.7500

Output
- DFT formation energy (eV per formula unit) = 10.56
- crystal system = cubic



No. 10
Material: NbAlP2Pb
Method: DFT, PBE
State: relaxed

Cell: 4.5710 4.5710 5.1276 Å, 90.00 90.00 90.00°
Fractional coordinates of all 5 atoms:
Nb  0.0000  0.0000  0.0000
Al  0.0000  0.0000  0.5000
P  0.0000  0.5000  0.5000
P  0.5000  0.0000  0.5000
Pb  0.5000  0.5000  0.0000

Output
- DFT formation energy (eV per formula unit) = 4.06
- crystal system = tetragonal



No. 11
Material: BaMgPt2
Method: DFT, PBE
State: relaxed

Cell: 4.9541 4.9541 3.7214 Å, 90.00 90.00 98.75°
Fractional coordinates of all 4 atoms:
Ba  0.0000  0.0000  0.0000
Mg  0.5000  0.5000  0.0000
Pt  0.0000  0.5000  0.5000
Pt  0.5000  0.0000  0.5000

Output
- DFT formation energy (eV per formula unit) = -1.51
- crystal system = orthorhombic



No. 12
Material: TbPm5Nd2Dy
Method: DFT, PBE
State: relaxed

Cell: 10.2229 10.2229 10.2229 Å, 129.65 129.65 73.97°
Fractional coordinates of all 18 atoms:
Tb  0.2500  0.2500  0.0000
Tb  0.7500  0.7500  0.0000
Pm  0.0000  0.0000  0.0000
Pm  0.0717  0.5717  0.9264
Pm  0.1453  0.0717  0.5000
Pm  0.3547  0.8547  0.9264
Pm  0.4283  0.3547  0.5000
Pm  0.5000  0.5000  0.0000
Pm  0.5717  0.6453  0.5000
Pm  0.6453  0.1453  0.0736
Pm  0.8547  0.9283  0.5000
Pm  0.9283  0.4283  0.0736
Nd  0.1200  0.3800  0.5000
Nd  0.3800  0.8800  0.2600
Nd  0.6200  0.1200  0.7400
Nd  0.8800  0.6200  0.5000
Dy  0.2500  0.7500  0.5000
Dy  0.7500  0.2500  0.5000

Output
- DFT formation energy (eV per formula unit) = 2.44
- crystal system = tetragonal



No. 13
Material: Sm12Al3Tl
Method: DFT, PBE
State: relaxed

Cell: 4.8667 4.8667 19.5131 Å, 90.00 90.00 90.00°
Fractional coordinates of all 16 atoms:
Sm  0.0000  0.0000  0.0000
Sm  0.0000  0.0000  0.2470
Sm  0.0000  0.0000  0.5000
Sm  0.0000  0.0000  0.7530
Sm  0.0000  0.5000  0.1238
Sm  0.0000  0.5000  0.3700
Sm  0.0000  0.5000  0.6300
Sm  0.0000  0.5000  0.8762
Sm  0.5000  0.0000  0.1238
Sm  0.5000  0.0000  0.3700
Sm  0.5000  0.0000  0.6300
Sm  0.5000  0.0000  0.8762
Al  0.5000  0.5000  0.0000
Al  0.5000  0.5000  0.2483
Al  0.5000  0.5000  0.7517
Tl  0.5000  0.5000  0.5000

Output
- DFT formation energy (eV per formula unit) = -2.86
- crystal system = tetragonal



No. 14
Material: Tb5NbGe4
Method: DFT, PBE
State: relaxed

Cell: 8.9981 8.9981 7.7986 Å, 105.07 105.07 25.51°
Fractional coordinates of all 10 atoms:
Tb  0.0000  0.0000  0.0000
Tb  0.3294  0.3294  0.6691
Tb  0.3324  0.3324  0.1443
Tb  0.6676  0.6676  0.8557
Tb  0.6706  0.6706  0.3309
Nb  0.0000  0.0000  0.5000
Ge  0.1598  0.1598  0.5897
Ge  0.4990  0.4990  0.7306
Ge  0.5010  0.5010  0.2694
Ge  0.8402  0.8402  0.4103

Output
- DFT formation energy (eV per formula unit) = -4.80
- crystal system = monoclinic



No. 15
Material: Dy4Er2Tl3H2
Method: DFT, PBE
State: relaxed

Cell: 12.6807 12.6807 12.6807 Å, 158.55 158.55 30.51°
Fractional coordinates of all 11 atoms:
Dy  0.0851  0.5851  0.5000
Dy  0.4149  0.9149  0.5000
Dy  0.5851  0.0851  0.5000
Dy  0.9149  0.4149  0.5000
Er  0.1979  0.1979  0.0000
Er  0.8021  0.8021  0.0000
Tl  0.3249  0.3249  0.0000
Tl  0.5000  0.5000  0.0000
Tl  0.6751  0.6751  0.0000
H  0.1033  0.1033  0.0000
H  0.8967  0.8967  0.0000

Output
- E_tot (eV per atom) = -4.02
- crystal system = tetragonal



No. 16
Material: ScGeSbTe2
Method: DFT, PBE
State: relaxed

Cell: 5.3462 5.3462 5.2970 Å, 90.00 90.00 90.00°
Fractional coordinates of all 5 atoms:
Sc  0.0000  0.0000  0.0000
Ge  0.5000  0.5000  0.5000
Sb  0.5000  0.5000  0.0000
Te  0.0000  0.5000  0.5000
Te  0.5000  0.0000  0.5000

Output
- raw formation energy (meV per atom) = 273
- crystal system = tetragonal
- distance to the lowest polymorph of the same formula (meV per atom) = 105



No. 17
Material: CdIr3Se
Method: DFT, PBE
State: relaxed

Cell: 4.8980 4.8980 4.8980 Å, 90.00 90.00 90.00°
Fractional coordinates of all 5 atoms:
Cd  0.0000  0.0000  0.0000
Ir  0.0000  0.0000  0.5000
Ir  0.0000  0.5000  0.0000
Ir  0.5000  0.0000  0.0000
Se  0.5000  0.5000  0.5000

Output
- raw formation energy (meV per atom) = 2428
- crystal system = cubic
- distance to the lowest polymorph of the same formula (meV per atom) = 1407



No. 18
Material: LiYSe
Method: DFT, PBE
State: relaxed

Cell: 4.1191 4.1191 3.9531 Å, 90.00 90.00 120.00°
Fractional coordinates of all 3 atoms:
Li  0.0000  0.0000  0.0000
Y  0.3333  0.6667  0.5000
Se  0.6667  0.3333  0.0000

Output
- raw formation energy (meV per atom) = -1091
- crystal system = hexagonal
- distance to the lowest polymorph of the same formula (meV per atom) = 0



No. 19
Material: HfAs2C2
Method: DFT, PBE
State: relaxed

Cell: 7.3074 7.3074 7.3074 Å, 152.81 152.81 38.83°
Fractional coordinates of all 5 atoms:
Hf  0.0000  0.0000  0.0000
As  0.2500  0.7500  0.5000
As  0.7500  0.2500  0.5000
C  0.4517  0.4517  0.0000
C  0.5483  0.5483  0.0000

Output
- DFT formation energy (eV per formula unit) = 3.96
- crystal system = tetragonal
- distance to the lowest polymorph of the same formula (meV per atom) = 140



No. 20
Material: Nd4RhO7
Method: DFT, PBE
State: relaxed

Cell: 6.9875 6.9875 9.4735 Å, 131.34 131.34 32.55°
Fractional coordinates of all 12 atoms:
Nd  0.0872  0.0872  0.3970
Nd  0.2497  0.2497  0.1588
Nd  0.7503  0.7503  0.8412
Nd  0.9128  0.9128  0.6030
Rh  0.5000  0.5000  0.0000
O  0.0000  0.0000  0.0000
O  0.1273  0.1273  0.6884
O  0.2924  0.2924  0.4394
O  0.4054  0.4054  0.1056
O  0.5946  0.5946  0.8944
O  0.7076  0.7076  0.5606
O  0.8727  0.8727  0.3116

Output
- raw formation energy (meV per atom) = -2846
- crystal system = monoclinic



No. 21
Material: NpUCo4
Method: DFT, PBE
State: relaxed

Cell: 4.8929 4.8929 4.8929 Å, 60.00 60.00 60.00°
Fractional coordinates of all 6 atoms:
Np  0.0000  0.0000  0.0000
U  0.2500  0.2500  0.2500
Co  0.1245  0.6252  0.6252
Co  0.6252  0.1245  0.6252
Co  0.6252  0.6252  0.1245
Co  0.6252  0.6252  0.6252

Output
- DFT formation energy (eV per formula unit) = -0.96
- crystal system = cubic



No. 22
Material: TmLuAs2
Method: DFT, PBE
State: relaxed

Cell: 7.0084 7.0084 7.0084 Å, 33.59 33.59 33.59°
Fractional coordinates of all 4 atoms:
Tm  0.0000  0.0000  0.0000
Lu  0.5000  0.5000  0.5000
As  0.2494  0.2494  0.2494
As  0.7506  0.7506  0.7506

Output
- DFT formation energy (eV per formula unit) = -5.96
- crystal system = trigonal



No. 23
Material: Zn3InNi
Method: DFT, PBE
State: relaxed

Cell: 5.0205 5.0205 5.0205 Å, 90.00 90.00 90.00°
Fractional coordinates of all 5 atoms:
Zn  0.0000  0.0000  0.5000
Zn  0.0000  0.5000  0.0000
Zn  0.5000  0.0000  0.0000
In  0.0000  0.0000  0.0000
Ni  0.5000  0.5000  0.5000

Output
- DFT formation energy (eV per formula unit) = 5.25
- crystal system = cubic
- distance to the lowest polymorph of the same formula (meV per atom) = 906



No. 24
Material: Ba4Tc3PbO12
Method: DFT, PBE
State: relaxed

Cell: 7.2253 7.2253 7.2253 Å, 109.47 109.47 109.47°
Fractional coordinates of all 20 atoms:
Ba  0.0000  0.0000  0.5000
Ba  0.0000  0.5000  0.0000
Ba  0.5000  0.0000  0.0000
Ba  0.5000  0.5000  0.5000
Tc  0.0000  0.5000  0.5000
Tc  0.5000  0.0000  0.5000
Tc  0.5000  0.5000  0.0000
Pb  0.0000  0.0000  0.0000
O  0.0000  0.2674  0.2674
O  0.0000  0.7326  0.7326
O  0.2500  0.5000  0.7500
O  0.2500  0.7500  0.5000
O  0.2674  0.0000  0.2674
O  0.2674  0.2674  0.0000
O  0.5000  0.2500  0.7500
O  0.5000  0.7500  0.2500
O  0.7326  0.0000  0.7326
O  0.7326  0.7326  0.0000
O  0.7500  0.2500  0.5000
O  0.7500  0.5000  0.2500

Output
- raw formation energy (meV per atom) = -1877
- crystal system = cubic